1.
! ZrTaRh2 PBE optimized geometry; values from VASP
&SYSTEM
  ibrav = 0, nat = 4, ntyp = 3
/
ATOMIC_SPECIES
Zr 91.22 Zr.upf
Ta 180.95 Ta.upf
Rh 102.91 Rh.upf
CELL_PARAMETERS angstrom
4.2175 0.0000 0.0000
0.0000 4.2175 0.0000
0.0000 0.0000 3.7922
ATOMIC_POSITIONS crystal
Zr 0.0000 0.0000 0.0000
Ta 0.5000 0.5000 0.0000
Rh 0.0000 0.5000 0.5000
Rh 0.5000 0.0000 0.5000
! Magnetic moment in μB per cell: 0.00
! Total energy in eV per atom: -9.29
! ΔH_f (0 K) in kJ per mole of atoms: -49.82
! Mass density in kg/m³: 11767



2.
! ZrTaRh2 PBE optimized geometry; values from VASP
&SYSTEM
  ibrav = 0, nat = 4, ntyp = 3
/
ATOMIC_SPECIES
Zr 91.22 Zr.upf
Ta 180.95 Ta.upf
Rh 102.91 Rh.upf
CELL_PARAMETERS angstrom
4.3936 0.0000 0.0000
0.0000 1.5565 5.0759
0.0000 -1.5565 5.0759
ATOMIC_POSITIONS crystal
Zr 0.0000 0.0000 0.0000
Ta 0.5000 0.2863 0.2863
Rh 0.0000 0.7386 0.7386
Rh 0.5000 0.5534 0.5534
! Magnetic moment in μB per cell: 0.00
! Total energy in eV per atom: -9.37
! ΔH_f (0 K) in kJ per mole of atoms: -57.30
! Mass density in kg/m³: 11433



3.
! Zr2TaRh PBE optimized geometry; values from VASP
&SYSTEM
  ibrav = 0, nat = 4, ntyp = 3
/
ATOMIC_SPECIES
Zr 91.22 Zr.upf
Ta 180.95 Ta.upf
Rh 102.91 Rh.upf
CELL_PARAMETERS angstrom
3.3645 0.0000 0.0000
0.0000 4.5545 0.0000
0.0000 0.0000 4.9116
ATOMIC_POSITIONS crystal
Zr 0.0000 0.0000 0.0000
Zr 0.5000 0.0000 0.5000
Ta 0.0000 0.5000 0.5000
Rh 0.5000 0.5000 0.0000
! Distance to the lowest polymorph of the same formula in eV/atom: 0.1705
! Magnetic moment in μB per cell: 0.00
! Total energy in eV per atom: -9.27
! ΔH_f (0 K) in kJ per mole of atoms: -19.18
! Mass density in kg/m³: 10288